[1]
# HfGaNiRh (GGA-PBE, optimized geometry)
# - Final energy: -7.217 eV/atom
# - E above lowest polymorph: 0.0024 eV/atom
# - Energy relative to the elements: -0.689 eV per atom
# - DOS(E_F): 0.8353 states/eV per atom
# - Density: 11.3 g/cm3
data_HfGaNiRh
_chemical_formula_sum 'Hf4 Ga4 Ni4 Rh4'
_symmetry_space_group_name_H-M 'F -4 3 m'
_symmetry_Int_Tables_number 216
_symmetry_space_group_name_Hall 'F -4 2 3'
_cell_length_a 6.2200
_cell_length_b 6.2200
_cell_length_c 6.2200
_cell_angle_alpha 90.00
_cell_angle_beta 90.00
_cell_angle_gamma 90.00
loop_
_atom_site_label
_atom_site_type_symbol
_atom_site_fract_x
_atom_site_fract_y
_atom_site_fract_z
Hf1 Hf 0.0000 0.0000 0.0000
Ga1 Ga 0.0000 0.0000 0.5000
Ni1 Ni 0.2500 0.2500 0.2500
Rh1 Rh 0.2500 0.2500 0.7500

---

[2]
# SiTePd (GGA-PBE, optimized geometry)
# - Final energy: -4.795 eV/atom
# - E above lowest polymorph: 0.0000 eV/atom
# - DOS(E_F): 0.2346 states/eV per atom
# - Density: 6.6 g/cm3
data_SiTePd
_chemical_formula_sum 'Si1 Te1 Pd1'
_symmetry_space_group_name_H-M 'P 1'
_symmetry_Int_Tables_number 1
_cell_length_a 3.1149
_cell_length_b 3.2806
_cell_length_c 6.8066
_cell_angle_alpha 103.67
_cell_angle_beta 103.07
_cell_angle_gamma 90.00
loop_
_symmetry_equiv_pos_as_xyz
'x,y,z'
loop_
_atom_site_label
_atom_site_type_symbol
_atom_site_fract_x
_atom_site_fract_y
_atom_site_fract_z
Si1 Si 0.0000 0.0000 0.0000
Te1 Te 0.7989 0.7953 0.5908
Pd1 Pd 0.5676 0.5671 0.1367

---

[3]
# TbDy6 (GGA-PBE, optimized geometry)
# - Final energy: -4.341 eV/atom
# - E above lowest polymorph: 0.0000 eV/atom
# - Energy relative to the elements: 0.265 eV per atom
# - DOS(E_F): 1.4417 states/eV per atom
# - Density: 8.2 g/cm3
data_TbDy6
_chemical_formula_sum 'Tb2 Dy12'
_symmetry_space_group_name_H-M 'P 4/n b m'
_symmetry_Int_Tables_number 125
_cell_length_a 6.4674
_cell_length_b 6.4674
_cell_length_c 10.9502
_cell_angle_alpha 90.00
_cell_angle_beta 90.00
_cell_angle_gamma 90.00
loop_
_symmetry_equiv_pos_as_xyz
'x,y,z'
'-x,-y,-z'
'-y+1/2,x,z'
'y+1/2,-x,-z'
'-x+1/2,-y+1/2,z'
'x+1/2,y+1/2,-z'
'y,-x+1/2,z'
'-y,x+1/2,-z'
'x,-y+1/2,-z'
'-x,y+1/2,z'
'-y+1/2,-x+1/2,-z'
'y+1/2,x+1/2,z'
'-x+1/2,y,-z'
'x+1/2,-y,z'
'y,x,-z'
'-y,-x,z'
loop_
_atom_site_label
_atom_site_type_symbol
_atom_site_fract_x
_atom_site_fract_y
_atom_site_fract_z
Tb1 Tb 0.2500 0.7500 0.0000
Dy1 Dy 0.0820 0.5820 0.3620
Dy2 Dy 0.2500 0.2500 0.1398

---

[4]
# Li3SeF (GGA-PBE, optimized geometry)
# - Final energy: -4.113 eV/atom
# - E above lowest polymorph: 0.0000 eV/atom
# - DOS(E_F): 0.0000 states/eV per atom
# - Density: 3.1 g/cm3
data_Li3SeF
_chemical_formula_sum 'Li3 Se1 F1'
_symmetry_space_group_name_H-M 'P m -3 m'
_symmetry_Int_Tables_number 221
_symmetry_space_group_name_Hall '-P 4 2 3'
_cell_length_a 3.9888
_cell_length_b 3.9888
_cell_length_c 3.9888
_cell_angle_alpha 90.00
_cell_angle_beta 90.00
_cell_angle_gamma 90.00
loop_
_atom_site_label
_atom_site_type_symbol
_atom_site_fract_x
_atom_site_fract_y
_atom_site_fract_z
Li1 Li 0.0000 0.0000 0.5000
Se1 Se 0.5000 0.5000 0.5000
F1 F 0.0000 0.0000 0.0000

---

[5]
# Sm2Ni15Rh2 (GGA-PBE, optimized geometry)
# - Final energy: -6.016 eV/atom
# - Energy relative to the elements: -0.181 eV per atom
# - DOS(E_F): 1.4003 states/eV per atom
# - Density: 9.2 g/cm3
data_Sm2Ni15Rh2
_chemical_formula_sum 'Sm6 Ni45 Rh6'
_symmetry_space_group_name_H-M 'R -3 m'
_symmetry_Int_Tables_number 166
_symmetry_space_group_name_Hall '-R 3 2"'
_cell_length_a 8.4083
_cell_length_b 8.4083
_cell_length_c 12.2529
_cell_angle_alpha 90.00
_cell_angle_beta 90.00
_cell_angle_gamma 120.00
loop_
_atom_site_label
_atom_site_type_symbol
_atom_site_fract_x
_atom_site_fract_y
_atom_site_fract_z
Sm1 Sm 0.0000 0.0000 0.1574
Ni1 Ni 0.0000 0.2946 0.5000
Ni2 Ni 0.0000 0.5000 0.0000
Ni3 Ni 0.0016 0.5008 0.6553
Rh1 Rh 0.0000 0.0000 0.3966

---

[6]
# VFe4Ge (GGA-PBE, optimized geometry)
# - Final energy: -8.045 eV/atom
# - E above lowest polymorph: 0.0000 eV/atom
# - Energy relative to the elements: -0.114 eV per atom
# - DOS(E_F): 0.7188 states/eV per atom
# - Density: 8.0 g/cm3
data_VFe4Ge
_chemical_formula_sum 'V2 Fe8 Ge2'
_symmetry_space_group_name_H-M 'C 1 2/m 1'
_symmetry_Int_Tables_number 12
_cell_length_a 8.8465
_cell_length_b 3.0097
_cell_length_c 5.7099
_cell_angle_alpha 90.00
_cell_angle_beta 108.78
_cell_angle_gamma 90.00
loop_
_symmetry_equiv_pos_as_xyz
'x,y,z'
'-x,-y,-z'
'-x,y,-z'
'x,-y,z'
'x+1/2,y+1/2,z'
'-x+1/2,-y+1/2,-z'
'-x+1/2,y+1/2,-z'
'x+1/2,-y+1/2,z'
loop_
_atom_site_label
_atom_site_type_symbol
_atom_site_fract_x
_atom_site_fract_y
_atom_site_fract_z
V1 V 0.0000 0.0000 0.0000
Fe1 Fe 0.1684 0.5000 0.8399
Fe2 Fe 0.1699 0.5000 0.3319
Ge1 Ge 0.0000 0.0000 0.5000

---

Which value of final energy does entry 6 give? -8.045 eV/atom

---

What is the final energy in the second record? -4.795 eV/atom

---

What is the final energy in the first record? -7.217 eV/atom